First-principles (PBE-GGA) data for a geometry-optimized Tb2MgGa12 structure, as listed in Alexandria via LeMat-Bulk.

abc: 5.8508 5.8508 17.5092
angles: 90.00 90.00 90.00
Last column: nearest neighbours and their distance in Å.
Atoms (fractional coordinates):
Tb 0.5000 0.0000 0.2796  10 Ga 3.10-3.18
Tb 0.0000 0.5000 0.2796  10 Ga 3.10-3.18
Tb 0.0000 0.5000 0.7204  10 Ga 3.10-3.18
Tb 0.5000 0.0000 0.7204  10 Ga 3.10-3.18
Mg 0.5000 0.0000 0.0000  8 Ga 2.89-2.91
Mg 0.0000 0.5000 0.0000  8 Ga 2.89-2.91
Ga 0.5000 0.5000 0.7889  5 Ga 2.46-2.65
Ga 0.0000 0.0000 0.7889  5 Ga 2.46-2.65
Ga 0.7518 0.7482 0.8837  6 Ga 2.65-2.93, 2 Mg 2.89-2.91
Ga 0.2518 0.7518 0.8837  6 Ga 2.65-2.93, 2 Mg 2.89-2.91
Ga 0.0000 0.0000 0.3515  5 Ga 2.46-2.61
Ga 0.2482 0.7482 0.1163  6 Ga 2.65-2.93, 2 Mg 2.89-2.91
Ga 0.8234 0.3234 0.5644  3 Ga 2.56-2.61
Ga 0.5000 0.5000 0.3515  5 Ga 2.46-2.61
Ga 0.2482 0.2518 0.8837  6 Ga 2.65-2.93, 2 Mg 2.89-2.91
Ga 0.7482 0.7518 0.1163  6 Ga 2.65-2.93, 2 Mg 2.89-2.91
Ga 0.3234 0.1766 0.5644  3 Ga 2.56-2.61
Ga 0.6766 0.1766 0.4356  3 Ga 2.56-2.61
Ga 0.0000 0.0000 0.6485  5 Ga 2.46-2.61
Ga 0.1766 0.3234 0.4356  3 Ga 2.56-2.61
Ga 0.2518 0.2482 0.1163  6 Ga 2.65-2.93, 2 Mg 2.89-2.91
Ga 0.8234 0.6766 0.4356  3 Ga 2.56-2.61
Ga 0.6766 0.8234 0.5644  3 Ga 2.56-2.61
Ga 0.0000 0.0000 0.2111  5 Ga 2.46-2.65
Ga 0.1766 0.6766 0.5644  3 Ga 2.56-2.61
Ga 0.5000 0.5000 0.6485  5 Ga 2.46-2.61
Ga 0.7482 0.2482 0.8837  6 Ga 2.65-2.93, 2 Mg 2.89-2.91
Ga 0.5000 0.5000 0.2111  5 Ga 2.46-2.65
Ga 0.3234 0.8234 0.4356  3 Ga 2.56-2.61
Ga 0.7518 0.2518 0.1163  6 Ga 2.65-2.93, 2 Mg 2.89-2.91

Total DFT energy (no corrections) (eV/cell): -102.9
DOS at the Fermi energy (states/eV/cell): 8.5
ΔE_f (meV/atom): -285
Spin magnetization (μB per formula unit): 0.000